Entry 1:
Density functional theory data (PBE) for a relaxed Ba2InHg crystal.

Computed properties:
DOS at the Fermi energy   3.13 states/eV per cell
Energy of formation   -0.460 eV per atom

extended XYZ file:
```
4
Lattice="6.012 0.000 0.000 0.000 6.012 0.000 0.000 0.000 4.244" Properties=species:S:1:pos:R:3 pbc="T T T"
Ba 0.000 3.006 0.000
Ba 3.006 0.000 0.000
In 0.000 0.000 2.122
Hg 3.006 3.006 2.122
```



Entry 2:
Density functional theory data (PBE) for a relaxed LiTiNb2Sb crystal.

Computed properties:
DOS at the Fermi energy   6.61 states/eV per cell
Uncorrected formation energy   0.911 eV per atom

extended XYZ file:
```
5
Lattice="4.718 0.000 0.000 0.000 4.718 0.000 0.000 0.000 4.689" Properties=species:S:1:pos:R:3 pbc="T T T"
Li 0.000 0.000 0.000
Ti 0.000 0.000 2.345
Nb 0.000 2.359 2.345
Nb 2.359 0.000 2.345
Sb 2.359 2.359 0.000
```



Entry 3:
Density functional theory data (PBE) for a relaxed Li2Er2ThMg5 crystal.

Computed properties:
DOS at the Fermi energy   19.43 states/eV per cell
Energy of formation   0.043 eV per atom

extended XYZ file:
```
20
Lattice="10.213 0.000 0.000 0.000 10.213 0.000 0.000 0.000 4.731" Properties=species:S:1:pos:R:3 pbc="T T T"
Li 1.143 3.963 0.000
Li 3.963 9.070 0.000
Li 6.250 1.143 0.000
Li 9.070 6.250 0.000
Er 1.860 6.967 0.000
Er 3.246 1.860 0.000
Er 6.967 8.353 0.000
Er 8.353 3.246 0.000
Th 0.000 0.000 0.000
Th 5.106 5.106 0.000
Mg 0.000 5.106 2.365
Mg 0.651 2.195 2.365
Mg 2.195 9.562 2.365
Mg 2.911 4.456 2.365
Mg 4.456 7.302 2.365
Mg 5.106 0.000 2.365
Mg 5.757 2.911 2.365
Mg 7.302 5.757 2.365
Mg 8.018 0.651 2.365
Mg 9.562 8.018 2.365
```



Entry 4:
Density functional theory data (PBE) for a relaxed Rb2Tl12Ag crystal.

Computed properties:
DOS at the Fermi energy   16.40 states/eV per cell
Energy of formation   0.012 eV per atom

extended XYZ file:
```
30
Lattice="7.185 0.000 0.000 0.000 7.185 0.000 0.000 0.000 19.908" Properties=species:S:1:pos:R:3 pbc="T T T"
Rb 1.796 5.389 4.960
Rb 1.796 5.389 14.948
Rb 5.389 1.796 4.960
Rb 5.389 1.796 14.948
Tl 0.000 7.185 1.631
Tl 7.185 0.000 18.277
Tl 7.185 3.592 1.631
Tl 0.000 3.593 18.277
Tl 0.608 4.200 8.623
Tl 0.608 6.577 11.285
Tl 1.796 1.796 3.590
Tl 1.796 1.796 6.763
Tl 1.796 1.796 13.145
Tl 1.796 1.796 16.318
Tl 2.985 4.200 11.285
Tl 2.985 6.577 8.623
Tl 3.593 0.000 1.631
Tl 3.592 7.185 18.277
Tl 3.592 3.593 1.631
Tl 3.593 3.592 18.277
Tl 4.200 0.608 11.285
Tl 4.200 2.985 8.623
Tl 5.389 5.389 3.590
Tl 5.389 5.389 6.763
Tl 5.389 5.389 13.145
Tl 5.389 5.389 16.318
Tl 6.577 0.608 8.623
Tl 6.577 2.985 11.285
Ag 1.796 5.389 0.000
Ag 5.389 1.796 0.000
```



Entry 5:
Density functional theory data (PBE) for a relaxed LiCeSn crystal.

Computed properties:
DOS at the Fermi energy   6.86 states/eV per cell
Energy of formation   -0.360 eV per atom

extended XYZ file:
```
3
Lattice="0.000 3.365 3.365 3.365 0.000 3.365 3.365 3.365 0.000" Properties=species:S:1:pos:R:3 pbc="T T T"
Li 0.000 0.000 0.000
Ce 5.048 5.048 5.048
Sn 1.683 1.683 1.683
```



Entry 6:
Density functional theory data (PBE) for a relaxed Ca2HgPd2 crystal.

Computed properties:
DOS at the Fermi energy   4.57 states/eV per cell
Energy of formation   -0.665 eV per atom

extended XYZ file:
```
10
Lattice="5.095 -2.814 0.000 5.095 2.814 0.000 -2.425 0.000 8.021" Properties=species:S:1:pos:R:3 pbc="T T T"
Ca 1.511 1.967 6.824
Ca 5.042 1.967 5.207
Ca 2.724 -1.967 2.813
Ca 6.255 -1.967 1.197
Hg 4.489 1.004 2.005
Hg 3.277 -1.004 6.016
Pd 2.524 0.793 3.974
Pd 6.455 0.793 0.036
Pd 1.311 -0.793 7.985
Pd 5.242 -0.793 4.047
```



Entry 7:
Density functional theory data (PBE) for a relaxed Sm3Tl4Zn2 crystal.

Computed properties:
DOS at the Fermi energy   3.74 states/eV per cell
Energy of formation   -0.288 eV per atom

extended XYZ file:
```
9
Lattice="5.762 -2.414 0.000 5.762 2.414 0.000 -3.642 0.000 8.370" Properties=species:S:1:pos:R:3 pbc="T T T"
Sm 0.000 0.000 0.000
Sm 2.606 0.000 2.784
Sm 5.276 0.000 5.586
Tl -0.516 0.000 3.451
Tl 0.073 0.000 8.066
Tl 7.809 0.000 0.303
Tl 8.398 0.000 4.919
Zn 2.089 0.000 6.149
Zn 5.792 0.000 2.221
```



Entry 8:
Density functional theory data (PBE) for a relaxed Nb2Co7 crystal.

Computed properties:
DOS at the Fermi energy   27.38 states/eV per cell
Energy of formation   -0.039 eV per atom

extended XYZ file:
```
18
Lattice="2.344 1.353 11.699 -2.344 1.353 11.699 0.000 -2.707 11.699" Properties=species:S:1:pos:R:3 pbc="T T T"
Nb 0.000 0.000 1.860
Nb 0.000 0.000 5.152
Nb 0.000 0.000 29.946
Nb 0.000 0.000 33.238
Co -1.172 -0.677 11.699
Co -1.184 -0.684 15.623
Co 0.000 0.000 9.731
Co 0.000 -1.367 19.474
Co -1.184 0.684 19.474
Co 0.000 0.000 13.691
Co -1.172 0.677 23.398
Co 0.000 1.353 11.699
Co 0.000 0.000 17.549
Co 0.000 0.000 21.407
Co 1.184 -0.684 15.623
Co 0.000 1.367 15.623
Co 0.000 0.000 25.366
Co 1.184 0.684 19.474
```



Entry 9:
Density functional theory data (PBE) for a relaxed KNa2Ac crystal.

Computed properties:
DOS at the Fermi energy   4.74 states/eV per cell
Energy of formation   0.160 eV per atom
Relative energy among the computed polymorphs   0 meV/atom

extended XYZ file:
```
4
Lattice="3.860 0.000 0.000 0.000 3.860 0.000 0.000 0.000 12.544" Properties=species:S:1:pos:R:3 pbc="T T T"
K 0.000 0.000 0.000
Na 1.930 1.930 3.337
Na 1.930 1.930 9.207
Ac 0.000 0.000 6.272
```



Entry 10:
Density functional theory data (PBE) for a relaxed Ce4ZnPt crystal.

Computed properties:
DOS at the Fermi energy   28.25 states/eV per cell
Energy of formation   -0.383 eV per atom

extended XYZ file:
```
12
Lattice="4.436 -6.301 0.000 4.436 6.301 0.000 -2.562 0.000 5.053" Properties=species:S:1:pos:R:3 pbc="T T T"
Ce 0.900 3.741 4.466
Ce 1.171 1.272 3.273
Ce 4.130 3.741 3.113
Ce 2.451 -1.272 0.746
Ce 3.860 1.272 4.307
Ce 2.181 -3.741 1.940
Ce 5.141 -1.272 1.780
Ce 5.411 -3.741 0.587
Zn 3.796 6.215 1.263
Zn 2.515 -6.215 3.790
Pt 3.796 1.400 1.263
Pt 2.515 -1.400 3.790
```



Entry 11:
Density functional theory data (PBE) for a relaxed Mg4CdSi crystal.

Computed properties:
DOS at the Fermi energy   4.09 states/eV per cell
Uncorrected formation energy   0.264 eV per atom

extended XYZ file:
```
6
Lattice="0.000 4.039 4.039 4.039 0.000 4.039 4.039 4.039 0.000" Properties=species:S:1:pos:R:3 pbc="T T T"
Mg 1.008 1.008 1.008
Mg 3.031 3.031 1.008
Mg 3.031 1.008 3.031
Mg 1.008 3.031 3.031
Cd 4.039 4.039 4.039
Si 6.059 6.059 6.059
```



Entry 12:
Density functional theory data (PBE) for a relaxed InCuAs2 crystal.

Computed properties:
DOS at the Fermi energy   1.74 states/eV per cell
Energy of formation   0.139 eV per atom

extended XYZ file:
```
4
Lattice="-1.843 1.868 6.042 1.843 -1.868 6.042 1.843 1.868 -6.042" Properties=species:S:1:pos:R:3 pbc="T T T"
In 0.000 0.000 0.000
Cu 0.000 1.868 2.646
As 1.843 0.000 2.384
As 0.000 0.000 4.356
```